A crystal of CuH36C8N10O8 relaxed with PBEsol, computed with SCAN.

Values from the calculation:
- density of states at the Fermi level (states/eV/cell) = 0.00
- space-group type = C2/c, No. 15
- magnetization (μB/atom) = 0.016
- E_tot (eV/atom) = -6.265

a = 6.623 Å, b = 12.024 Å, c = 12.913 Å
α = 104.74°, β = 90.00°, γ = 105.99°
Last column: magnetic moment on the atom in μB.
Positions (direct):
H 0.489 0.578 0.275  0.00
H 0.653 0.921 0.046  0.00
H 0.927 0.106 0.569  0.00
H 0.732 0.079 0.454  0.00
H 0.391 0.156 0.337  0.00
H 0.128 0.165 0.363  0.00
H 0.704 0.560 0.600  0.00
H 0.179 0.601 0.210  0.00
H 0.835 0.602 0.450  0.00
H 0.914 0.396 0.348  0.00
H 0.929 0.044 0.679  0.00
H 0.073 0.894 0.431  0.00
H 0.765 0.156 0.837  0.00
H 0.235 0.844 0.163  0.00
H 0.127 0.696 0.447  0.00
H 0.343 0.728 0.945  0.00
H 0.511 0.422 0.725  0.00
H 0.165 0.398 0.550  0.00
H 0.609 0.844 0.663  0.00
H 0.910 0.257 0.956  0.00
H 0.422 0.601 0.710  0.00
H 0.145 0.440 0.900  0.00
H 0.518 0.604 0.152  0.00
H 0.638 0.610 0.776  0.00
H 0.615 0.272 0.555  0.00
H 0.296 0.440 0.400  0.00
H 0.482 0.396 0.848  0.00
H 0.855 0.560 0.100  0.00
H 0.885 0.956 0.821  0.00
H 0.179 0.106 0.069  0.00
H 0.543 0.784 0.131  0.00
H 0.821 0.399 0.790  0.00
H 0.653 0.743 0.544  0.00
H 0.225 0.550 0.473  0.00
H 0.578 0.399 0.290  0.00
H 0.385 0.728 0.445  0.00
H 0.775 0.450 0.527  0.00
H 0.616 0.919 0.855  0.00
H 0.240 0.784 0.631  0.00
H 0.384 0.081 0.145  0.00
H 0.347 0.257 0.456  0.00
H 0.972 0.610 0.276  0.00
H 0.783 0.703 0.396  0.00
H 0.080 0.297 0.104  0.00
H 0.086 0.604 0.652  0.00
H 0.071 0.956 0.321  0.00
H 0.432 0.304 0.053  0.00
H 0.090 0.743 0.044  0.00
H 0.037 0.165 0.863  0.00
H 0.675 0.450 0.027  0.00
H 0.362 0.390 0.224  0.00
H 0.657 0.272 0.055  0.00
H 0.303 0.919 0.355  0.00
H 0.115 0.044 0.179  0.00
H 0.232 0.398 0.050  0.00
H 0.821 0.894 0.931  0.00
H 0.920 0.703 0.896  0.00
H 0.217 0.297 0.604  0.00
H 0.697 0.081 0.645  0.00
H 0.325 0.550 0.973  0.00
H 0.028 0.390 0.724  0.00
H 0.873 0.304 0.553  0.00
H 0.457 0.216 0.869  0.00
H 0.872 0.835 0.637  0.00
H 0.268 0.921 0.546  0.00
H 0.911 0.422 0.225  0.00
H 0.347 0.079 0.954  0.00
H 0.568 0.696 0.947  0.00
H 0.963 0.835 0.137  0.00
H 0.760 0.216 0.369  0.00
H 0.089 0.578 0.775  0.00
H 0.768 0.602 0.950  0.00
O 0.979 0.422 0.797  0.00
O 0.769 0.653 0.896  0.00
O 0.262 0.701 0.487  0.00
O 0.266 0.461 0.955  0.00
O 0.734 0.539 0.045  0.00
O 0.738 0.299 0.513  0.00
O 0.116 0.347 0.604  0.00
O 0.195 0.461 0.455  0.00
O 0.439 0.701 0.987  0.00
O 0.805 0.539 0.545  0.00
O 0.443 0.422 0.297  0.00
O 0.884 0.653 0.396  0.00
O 0.231 0.347 0.104  0.00
O 0.557 0.578 0.703  0.00
O 0.021 0.578 0.203  0.00
O 0.561 0.299 0.013  0.00
N 0.386 0.212 0.619  0.00
N 0.526 0.365 0.771  0.00
N 0.694 0.003 0.101  0.08
N 0.827 0.212 0.119  0.00
N 0.691 0.997 0.399  0.08
N 0.231 0.828 0.710  0.08
N 0.250 0.075 0.456  0.00
N 0.175 0.925 0.044  0.00
N 0.597 0.828 0.210  0.08
N 0.161 0.635 0.729  0.00
N 0.309 0.003 0.601  0.08
N 0.825 0.075 0.956  0.00
N 0.306 0.997 0.899  0.08
N 0.614 0.788 0.381  0.00
N 0.474 0.635 0.229  0.00
N 0.839 0.365 0.271  0.00
N 0.173 0.788 0.881  0.00
N 0.403 0.172 0.790  0.08
N 0.769 0.172 0.290  0.08
N 0.750 0.925 0.544  0.00
Cu 0.689 0.000 0.250  0.65
Cu 0.311 0.000 0.750  0.65
C 0.828 0.045 0.612  0.00
C 0.888 0.168 0.901  0.00
C 0.810 0.244 0.227  0.00
C 0.779 0.094 0.061  0.00
C 0.112 0.832 0.099  0.00
C 0.719 0.832 0.599  0.00
C 0.782 0.955 0.888  0.00
C 0.218 0.045 0.112  0.00
C 0.316 0.094 0.561  0.00
C 0.281 0.168 0.401  0.00
C 0.190 0.756 0.773  0.00
C 0.434 0.244 0.727  0.00
C 0.221 0.906 0.939  0.00
C 0.172 0.955 0.388  0.00
C 0.684 0.906 0.439  0.00
C 0.566 0.756 0.273  0.00

A crystal of CuH6CN2O3 relaxed with PBEsol, computed with SCAN.

Values from the calculation:
- density of states at the Fermi level (states/eV/cell) = 0.00
- space-group type = P2_1/c, No. 14
- magnetization (μB/atom) = 0.077
- E_tot (eV/atom) = -7.146

a = 5.623 Å, b = 7.130 Å, c = 10.753 Å
α = 90.00°, β = 90.00°, γ = 95.12°
Last column: magnetic moment on the atom in μB.
Positions (direct):
H 0.352 0.625 0.370  0.00
H 0.800 0.385 0.022  0.00
H 0.700 0.270 0.894  0.00
H 0.397 0.852 0.402  0.00
H 0.272 0.344 0.526  0.00
H 0.139 0.273 0.160  0.00
H 0.200 0.115 0.522  0.00
H 0.139 0.773 0.340  0.00
H 0.603 0.148 0.598  0.00
H 0.728 0.156 0.026  0.00
H 0.603 0.648 0.902  0.00
H 0.648 0.375 0.630  0.00
H 0.300 0.730 0.106  0.00
H 0.648 0.875 0.870  0.00
H 0.200 0.615 0.978  0.00
H 0.397 0.352 0.098  0.00
H 0.861 0.727 0.840  0.00
H 0.728 0.656 0.474  0.00
H 0.352 0.125 0.130  0.00
H 0.300 0.230 0.394  0.00
H 0.272 0.844 0.974  0.00
H 0.861 0.227 0.660  0.00
H 0.700 0.770 0.606  0.00
H 0.800 0.885 0.478  0.00
O 0.662 0.536 0.151  0.02
O 0.060 0.104 0.761  0.09
O 0.611 0.960 0.145  0.09
O 0.662 0.036 0.349  0.02
O 0.389 0.540 0.645  0.09
O 0.060 0.604 0.739  0.09
O 0.940 0.396 0.261  0.09
O 0.338 0.464 0.849  0.02
O 0.389 0.040 0.855  0.09
O 0.940 0.896 0.239  0.09
O 0.338 0.964 0.651  0.02
O 0.611 0.460 0.355  0.09
C 0.735 0.468 0.251  -0.01
C 0.265 0.532 0.749  -0.01
C 0.735 0.968 0.249  -0.01
C 0.265 0.032 0.751  -0.01
N 0.191 0.737 0.029  0.07
N 0.809 0.263 0.971  0.07
N 0.732 0.761 0.902  0.06
N 0.809 0.763 0.529  0.07
N 0.268 0.739 0.402  0.06
N 0.268 0.239 0.098  0.06
N 0.191 0.237 0.471  0.07
N 0.732 0.261 0.598  0.06
Cu 0.868 0.807 0.068  0.65
Cu 0.132 0.193 0.932  0.65
Cu 0.868 0.307 0.432  0.65
Cu 0.132 0.693 0.568  0.65

A crystal of CuH12C3SN6O7 relaxed with PBEsol, computed with SCAN.

Values from the calculation:
- density of states at the Fermi level (states/eV/cell) = 0.00
- space-group type = Pbcn, No. 60
- magnetization (μB/atom) = 0.033
- E_tot (eV/atom) = -7.271

a = 8.756 Å, b = 9.239 Å, c = 12.788 Å
α = 90.00°, β = 90.00°, γ = 90.00°
Last column: magnetic moment on the atom in μB.
Positions (direct):
H 0.265 0.112 0.792  0.00
H 0.739 0.464 0.165  0.00
H 0.761 0.964 0.665  0.00
H 0.487 0.222 0.853  0.00
H 0.235 0.112 0.208  0.00
H 0.642 0.033 0.039  0.00
H 0.642 0.533 0.461  0.00
H 0.161 0.324 0.707  0.00
H 0.858 0.033 0.961  0.00
H 0.261 0.536 0.835  0.00
H 0.765 0.888 0.792  0.00
H 0.235 0.612 0.292  0.00
H 0.839 0.676 0.293  0.00
H 0.987 0.278 0.647  0.00
H 0.339 0.824 0.207  0.00
H 0.013 0.722 0.353  0.00
H 0.858 0.533 0.539  0.00
H 0.513 0.278 0.353  0.00
H 0.513 0.778 0.147  0.00
H 0.735 0.388 0.292  0.00
H 0.839 0.176 0.207  0.00
H 0.735 0.888 0.208  0.00
H 0.013 0.222 0.147  0.00
H 0.960 0.187 0.929  0.00
H 0.960 0.687 0.571  0.00
H 0.765 0.388 0.708  0.00
H 0.161 0.824 0.793  0.00
H 0.339 0.324 0.293  0.00
H 0.261 0.036 0.665  0.00
H 0.739 0.964 0.335  0.00
H 0.761 0.464 0.835  0.00
H 0.661 0.676 0.707  0.00
H 0.265 0.612 0.708  0.00
H 0.142 0.967 0.039  0.00
H 0.142 0.467 0.461  0.00
H 0.239 0.536 0.165  0.00
H 0.540 0.687 0.429  0.00
H 0.239 0.036 0.335  0.00
H 0.040 0.313 0.429  0.00
H 0.460 0.313 0.571  0.00
H 0.540 0.187 0.071  0.00
H 0.358 0.467 0.539  0.00
H 0.460 0.813 0.929  0.00
H 0.040 0.813 0.071  0.00
H 0.661 0.176 0.793  0.00
H 0.358 0.967 0.961  0.00
H 0.487 0.722 0.647  0.00
H 0.987 0.778 0.853  0.00
C 0.250 0.780 0.000  0.00
C 0.472 0.598 0.782  0.00
C 0.528 0.902 0.282  0.00
C 0.028 0.598 0.218  0.00
C 0.472 0.098 0.718  0.00
C 0.750 0.720 0.500  0.00
C 0.972 0.402 0.782  0.00
C 0.972 0.902 0.718  0.00
C 0.528 0.402 0.218  0.00
C 0.028 0.098 0.282  0.00
C 0.750 0.220 0.000  0.00
C 0.250 0.280 0.500  0.00
Cu 0.500 0.500 0.000  0.74
Cu 0.500 0.000 0.500  0.74
Cu 0.000 0.500 0.000  0.74
Cu 0.000 0.000 0.500  0.74
N 0.643 0.142 0.052  0.00
N 0.046 0.337 0.702  0.00
N 0.857 0.642 0.552  0.00
N 0.857 0.142 0.948  0.00
N 0.679 0.415 0.224  0.00
N 0.179 0.085 0.276  0.00
N 0.679 0.915 0.276  0.00
N 0.643 0.642 0.448  0.00
N 0.143 0.358 0.448  0.00
N 0.954 0.163 0.202  0.00
N 0.546 0.663 0.702  0.00
N 0.321 0.585 0.776  0.00
N 0.143 0.858 0.052  0.00
N 0.179 0.585 0.224  0.00
N 0.954 0.663 0.298  0.00
N 0.321 0.085 0.724  0.00
N 0.046 0.837 0.798  0.00
N 0.357 0.858 0.948  0.00
N 0.546 0.163 0.798  0.00
N 0.821 0.915 0.724  0.00
N 0.821 0.415 0.776  0.00
N 0.454 0.837 0.202  0.00
N 0.454 0.337 0.298  0.00
N 0.357 0.358 0.552  0.00
O 0.132 0.341 0.054  0.05
O 0.552 0.551 0.859  0.06
O 0.822 0.842 0.081  0.01
O 0.178 0.158 0.919  0.01
O 0.178 0.658 0.581  0.01
O 0.750 0.357 0.000  0.00
O 0.322 0.158 0.081  0.01
O 0.868 0.659 0.946  0.05
O 0.632 0.659 0.054  0.05
O 0.868 0.159 0.554  0.05
O 0.132 0.841 0.446  0.05
O 0.368 0.341 0.946  0.05
O 0.552 0.051 0.641  0.06
O 0.678 0.842 0.919  0.01
O 0.322 0.658 0.419  0.01
O 0.052 0.449 0.859  0.06
O 0.250 0.643 0.000  0.00
O 0.822 0.342 0.419  0.01
O 0.448 0.949 0.359  0.06
O 0.250 0.143 0.500  0.00
O 0.632 0.159 0.446  0.05
O 0.052 0.949 0.641  0.06
O 0.948 0.051 0.359  0.06
O 0.750 0.857 0.500  0.00
O 0.678 0.342 0.581  0.01
O 0.948 0.551 0.141  0.06
O 0.368 0.841 0.554  0.05
O 0.448 0.449 0.141  0.06
S 0.250 0.749 0.500  0.00
S 0.750 0.251 0.500  0.00
S 0.250 0.249 0.000  0.00
S 0.750 0.751 0.000  0.00

A crystal of CuHCO4 relaxed with PBEsol, computed with SCAN.

Values from the calculation:
- space-group type = P6_3/m, No. 176
- magnetization (μB/atom) = 0.000
- E_tot (eV/atom) = -8.669

a = 6.160 Å, b = 10.424 Å, c = 10.424 Å
α = 120.00°, β = 90.00°, γ = 90.00°
Positions (direct):
O 0.750 0.113 0.584
O 0.437 0.556 0.694
O 0.437 0.306 0.862
O 0.750 0.884 0.302
O 0.250 0.302 0.417
O 0.563 0.444 0.306
O 0.063 0.306 0.862
O 0.750 0.417 0.116
O 0.750 0.416 0.528
O 0.563 0.694 0.138
O 0.063 0.138 0.444
O 0.250 0.584 0.472
O 0.937 0.444 0.306
O 0.563 0.862 0.556
O 0.250 0.887 0.416
O 0.750 0.698 0.583
O 0.750 0.472 0.887
O 0.437 0.138 0.444
O 0.250 0.116 0.698
O 0.250 0.528 0.113
O 0.937 0.862 0.556
O 0.063 0.556 0.694
O 0.250 0.583 0.884
O 0.937 0.694 0.138
H 0.250 0.638 0.176
H 0.250 0.824 0.462
H 0.750 0.462 0.638
H 0.250 0.538 0.362
H 0.750 0.176 0.538
H 0.750 0.362 0.824
Cu 0.500 0.500 0.000
Cu 0.500 0.000 0.500
Cu 0.000 0.500 0.000
Cu 0.000 0.500 0.500
Cu 0.500 0.500 0.500
Cu 0.000 0.000 0.500
C 0.750 0.809 0.564
C 0.250 0.245 0.809
C 0.250 0.191 0.436
C 0.250 0.564 0.755
C 0.750 0.436 0.245
C 0.750 0.755 0.191

A crystal of TlCuHCO4 relaxed with PBEsol, computed with SCAN.

Values from the calculation:
- density of states at the Fermi level (states/eV/cell) = 0.00
- space-group type = P6_3/m, No. 176
- magnetization (μB/atom) = 0.125
- E_tot (eV/atom) = -16.887

a = 5.989 Å, b = 10.975 Å, c = 10.975 Å
α = 120.00°, β = 90.00°, γ = 90.00°
Last column: magnetic moment on the atom in μB.
Positions (direct):
O 0.750 0.112 0.605  0.13
O 0.250 0.888 0.395  0.13
O 0.250 0.616 0.894  0.02
O 0.250 0.277 0.384  0.02
O 0.561 0.857 0.553  0.06
O 0.750 0.493 0.888  0.13
O 0.750 0.395 0.507  0.13
O 0.250 0.507 0.112  0.13
O 0.061 0.143 0.447  0.06
O 0.750 0.723 0.616  0.02
O 0.061 0.553 0.696  0.06
O 0.061 0.304 0.857  0.06
O 0.561 0.447 0.304  0.06
O 0.939 0.857 0.553  0.06
O 0.939 0.696 0.143  0.06
O 0.439 0.304 0.857  0.06
O 0.439 0.553 0.696  0.06
O 0.750 0.894 0.277  0.02
O 0.939 0.447 0.304  0.06
O 0.561 0.696 0.143  0.06
O 0.250 0.605 0.493  0.13
O 0.439 0.143 0.447  0.06
O 0.250 0.106 0.723  0.02
O 0.750 0.384 0.106  0.02
Cu 0.000 0.500 0.000  0.71
Cu 0.000 0.000 0.500  0.71
Cu 0.500 0.500 0.000  0.71
Cu 0.500 0.000 0.500  0.71
Cu 0.000 0.500 0.500  0.71
Cu 0.500 0.500 0.500  0.71
H 0.750 0.408 0.602  0.00
H 0.250 0.806 0.408  0.00
H 0.250 0.592 0.398  0.00
H 0.250 0.602 0.194  0.00
H 0.750 0.194 0.592  0.00
H 0.750 0.398 0.806  0.00
C 0.250 0.237 0.811  0.00
C 0.250 0.574 0.763  0.00
C 0.750 0.426 0.237  0.00
C 0.750 0.763 0.189  0.00
C 0.250 0.189 0.426  0.00
C 0.750 0.811 0.574  0.00
Tl 0.750 0.135 0.851  0.00
Tl 0.250 0.283 0.135  0.00
Tl 0.750 0.717 0.865  0.00
Tl 0.250 0.865 0.149  0.00
Tl 0.750 0.149 0.283  0.00
Tl 0.250 0.851 0.717  0.00

A crystal of HfCuIrC2 relaxed with PBEsol, computed with SCAN.

Values from the calculation:
- density of states at the Fermi level (states/eV/cell) = 2.85
- space-group type = P4/mmm, No. 123
- magnetization (μB/atom) = 0.000
- E_tot (eV/atom) = -32.552

a = 3.850 Å, b = 3.850 Å, c = 5.385 Å
α = 90.00°, β = 90.00°, γ = 90.00°
Positions (direct):
Ir 0.000 0.000 0.000
C 0.000 0.500 0.000
C 0.500 0.000 0.000
Hf 0.000 0.000 0.500
Cu 0.500 0.500 0.500

A crystal of HfZr2CuC relaxed with PBEsol, computed with SCAN.

Values from the calculation:
- density of states at the Fermi level (states/eV/cell) = 5.92
- space-group type = P4/mmm, No. 123
- magnetization (μB/atom) = 0.000
- E_tot (eV/atom) = -29.020

a = 3.447 Å, b = 5.158 Å, c = 5.158 Å
α = 90.00°, β = 90.00°, γ = 90.00°
Positions (direct):
C 0.500 0.000 0.000
Cu 0.000 0.000 0.000
Hf 0.500 0.500 0.500
Zr 0.000 0.500 0.000
Zr 0.000 0.000 0.500

A crystal of CuHgC3 relaxed with PBEsol, computed with SCAN.

Values from the calculation:
- density of states at the Fermi level (states/eV/cell) = 2.71
- space-group type = Pm-3m, No. 221
- magnetization (μB/atom) = 0.000
- E_tot (eV/atom) = -18.935

a = 4.224 Å, b = 4.224 Å, c = 4.224 Å
α = 90.00°, β = 90.00°, γ = 90.00°
Positions (direct):
Cu 0.500 0.500 0.500
C 0.500 0.000 0.000
C 0.000 0.500 0.000
C 0.000 0.000 0.500
Hg 0.000 0.000 0.000

What did the fifth record say?
A crystal of TlCuHCO4 relaxed with PBEsol, computed with SCAN.

Values from the calculation:
- density of states at the Fermi level (states/eV/cell) = 0.00
- space-group type = P6_3/m, No. 176
- magnetization (μB/atom) = 0.125
- E_tot (eV/atom) = -16.887

a = 5.989 Å, b = 10.975 Å, c = 10.975 Å
α = 120.00°, β = 90.00°, γ = 90.00°
Last column: magnetic moment on the atom in μB.
Positions (direct):
O 0.750 0.112 0.605  0.13
O 0.250 0.888 0.395  0.13
O 0.250 0.616 0.894  0.02
O 0.250 0.277 0.384  0.02
O 0.561 0.857 0.553  0.06
O 0.750 0.493 0.888  0.13
O 0.750 0.395 0.507  0.13
O 0.250 0.507 0.112  0.13
O 0.061 0.143 0.447  0.06
O 0.750 0.723 0.616  0.02
O 0.061 0.553 0.696  0.06
O 0.061 0.304 0.857  0.06
O 0.561 0.447 0.304  0.06
O 0.939 0.857 0.553  0.06
O 0.939 0.696 0.143  0.06
O 0.439 0.304 0.857  0.06
O 0.439 0.553 0.696  0.06
O 0.750 0.894 0.277  0.02
O 0.939 0.447 0.304  0.06
O 0.561 0.696 0.143  0.06
O 0.250 0.605 0.493  0.13
O 0.439 0.143 0.447  0.06
O 0.250 0.106 0.723  0.02
O 0.750 0.384 0.106  0.02
Cu 0.000 0.500 0.000  0.71
Cu 0.000 0.000 0.500  0.71
Cu 0.500 0.500 0.000  0.71
Cu 0.500 0.000 0.500  0.71
Cu 0.000 0.500 0.500  0.71
Cu 0.500 0.500 0.500  0.71
H 0.750 0.408 0.602  0.00
H 0.250 0.806 0.408  0.00
H 0.250 0.592 0.398  0.00
H 0.250 0.602 0.194  0.00
H 0.750 0.194 0.592  0.00
H 0.750 0.398 0.806  0.00
C 0.250 0.237 0.811  0.00
C 0.250 0.574 0.763  0.00
C 0.750 0.426 0.237  0.00
C 0.750 0.763 0.189  0.00
C 0.250 0.189 0.426  0.00
C 0.750 0.811 0.574  0.00
Tl 0.750 0.135 0.851  0.00
Tl 0.250 0.283 0.135  0.00
Tl 0.750 0.717 0.865  0.00
Tl 0.250 0.865 0.149  0.00
Tl 0.750 0.149 0.283  0.00
Tl 0.250 0.851 0.717  0.00

Which of these has the highest E_tot?
CuH36C8N10O8